No. 1
Below is a geometry-optimized Nd2Y2CClF4 structure, with properties calculated at the PBE level.

Results
SG: C2/m
crystal system: monoclinic
size of the total moment: 0.000 μB/atom
calculated density: 4.9 g cm⁻³
DFT total energy: -6.5697 eV/atom

Cell lengths 7.665, 7.665, 8.026 Å; angles 112.35, 112.35, 27.43 degrees
Atoms (fractional coordinates):
Nd: 0.007 0.007 0.220
Nd: 0.993 0.993 0.780
Y: 0.330 0.330 0.884
Y: 0.670 0.670 0.116
C: 0.500 0.500 0.000
Cl: 0.500 0.500 0.500
F: 0.178 0.178 0.926
F: 0.194 0.194 0.301
F: 0.806 0.806 0.699
F: 0.822 0.822 0.074


No. 2
Below is a geometry-optimized TmNb structure, with properties calculated at the PBE level.

Results
SG: P-6m2
crystal system: hexagonal
formation enthalpy at 0 K: 0.387 eV/atom
size of the total moment: 0.002 μB/atom
calculated density: 9.5 g cm⁻³

Cell lengths 3.194, 3.194, 5.179 Å; angles 90.00, 90.00, 120.00 degrees
Atoms (fractional coordinates):
Tm: 0.000 0.000 0.000
Nb: 0.333 0.667 0.500


No. 3
Below is a geometry-optimized NdHfW structure, with properties calculated at the PBE level.

Results
SG: F-43m
crystal system: cubic
formation enthalpy at 0 K: 0.776 eV/atom
size of the total moment: 0.002 μB/atom
calculated density: 11.1 g cm⁻³

Cell lengths 4.752, 4.752, 4.752 Å; angles 60.00, 60.00, 60.00 degrees
Atoms (fractional coordinates):
Nd: 0.000 0.000 0.000
Hf: 0.500 0.500 0.500
W: 0.750 0.750 0.750